Computed, not measured: Ca6InGa5 after structural relaxation at the PBE-GGA level of DFT.

## Properties
Its crystal system is monoclinic. The value obtained for the energy relative to the elements is -42.4 kJ per mole of atoms. For the total moment, the calculation gives 0.000 μB/f.u.

The structure in CIF format:
```
data_Ca6InGa5
_cell_length_a 5.2283
_cell_length_b 7.4239
_cell_length_c 8.2686
_cell_angle_alpha 90.00
_cell_angle_beta 107.94
_cell_angle_gamma 90.00
_symmetry_space_group_name_H-M 'P 1 2/m 1'
_symmetry_Int_Tables_number 10
loop_
_symmetry_equiv_pos_as_xyz
'x,y,z'
'-x,-y,-z'
'-x,y,-z'
'x,-y,z'
loop_
_atom_site_label
_atom_site_type_symbol
_atom_site_fract_x
_atom_site_fract_y
_atom_site_fract_z
Ca1 Ca 0.0000 0.2412 0.0000
Ca2 Ca 0.3304 0.2466 0.6599
In1 In 0.5000 0.5000 0.0000
Ga1 Ga 0.1626 0.5000 0.3269
Ga2 Ga 0.1642 0.0000 0.3311
Ga3 Ga 0.5000 0.0000 0.0000
```


Computed, not measured: Ca6In5Ga after structural relaxation at the PBE-GGA level of DFT.

## Properties
Its crystal system is orthorhombic. The value obtained for the energy relative to the elements is -44.4 kJ per mole of atoms. For the total moment, the calculation gives 0.000 μB/f.u.

The structure in CIF format:
```
data_Ca6In5Ga
_cell_length_a 5.4062
_cell_length_b 16.2706
_cell_length_c 7.6715
_cell_angle_alpha 90.00
_cell_angle_beta 90.00
_cell_angle_gamma 90.00
_symmetry_space_group_name_H-M 'C m m m'
_symmetry_Int_Tables_number 65
_symmetry_space_group_name_Hall '-C 2 2'
loop_
_atom_site_label
_atom_site_type_symbol
_atom_site_fract_x
_atom_site_fract_y
_atom_site_fract_z
Ca1 Ca 0.0000 0.0000 0.2417
Ca2 Ca 0.0000 0.3371 0.2464
In1 In 0.0000 0.1680 0.5000
In2 In 0.0000 0.1695 0.0000
In3 In 0.0000 0.5000 0.5000
Ga1 Ga 0.0000 0.5000 0.0000
```